# La3Tb2Ho6Sc (PBE-GGA, optimized geometry)
# **E_form**: 0.034 eV/atom
data_La3Tb2Ho6Sc
_cell_length_a 6.175
_cell_length_b 10.699
_cell_length_c 11.792
_cell_angle_alpha 90.00
_cell_angle_beta 100.07
_cell_angle_gamma 90.00
_symmetry_space_group_name_H-M 'C 1 2/m 1'
_symmetry_Int_Tables_number 12
loop_
_symmetry_equiv_pos_as_xyz
'x,y,z'
'-x,-y,-z'
'-x,y,-z'
'x,-y,z'
'x+1/2,y+1/2,z'
'-x+1/2,-y+1/2,-z'
'-x+1/2,y+1/2,-z'
'x+1/2,-y+1/2,z'
loop_
_atom_site_label
_atom_site_type_symbol
_atom_site_fract_x
_atom_site_fract_y
_atom_site_fract_z
La1 La 0.000 0.000 0.000
La2 La 0.000 0.333 0.000
Tb1 Tb 0.000 0.166 0.500
Ho1 Ho 0.245 0.335 0.742
Ho2 Ho 0.249 0.000 0.742
Sc1 Sc 0.000 0.500 0.500

=====

# LaTb2Ho5Sc (PBE-GGA, optimized geometry)
# **E_form**: 0.178 eV/atom
data_LaTb2Ho5Sc
_cell_length_a 5.580
_cell_length_b 19.647
_cell_length_c 10.364
_cell_angle_alpha 90.00
_cell_angle_beta 90.00
_cell_angle_gamma 90.00
_symmetry_space_group_name_H-M 'C m c 21'
_symmetry_Int_Tables_number 36
loop_
_symmetry_equiv_pos_as_xyz
'x,y,z'
'-x,-y,z+1/2'
'-x,y,z'
'x,-y,z+1/2'
'x+1/2,y+1/2,z'
'-x+1/2,-y+1/2,z+1/2'
'-x+1/2,y+1/2,z'
'x+1/2,-y+1/2,z+1/2'
loop_
_atom_site_label
_atom_site_type_symbol
_atom_site_fract_x
_atom_site_fract_y
_atom_site_fract_z
La1 La 0.000 0.085 0.000
Tb1 Tb 0.000 0.386 0.280
Tb2 Tb 0.000 0.388 0.861
Ho1 Ho 0.000 0.018 0.285
Ho2 Ho 0.000 0.124 0.566
Ho3 Ho 0.000 0.204 0.253
Ho4 Ho 0.000 0.223 0.869
Ho5 Ho 0.000 0.482 0.568
Sc1 Sc 0.000 0.303 0.560

=====

# LaTbHoSc (PBE-GGA, optimized geometry)
# **E_form**: 0.100 eV/atom
# **Offset from the most stable computed form**: 12 meV per atom
data_LaTbHoSc
_cell_length_a 7.939
_cell_length_b 7.939
_cell_length_c 7.939
_cell_angle_alpha 90.00
_cell_angle_beta 90.00
_cell_angle_gamma 90.00
_symmetry_space_group_name_H-M 'F -4 3 m'
_symmetry_Int_Tables_number 216
_symmetry_space_group_name_Hall 'F -4 2 3'
loop_
_atom_site_label
_atom_site_type_symbol
_atom_site_fract_x
_atom_site_fract_y
_atom_site_fract_z
La1 La 0.000 0.000 0.000
Tb1 Tb 0.000 0.000 0.500
Ho1 Ho 0.250 0.250 0.750
Sc1 Sc 0.250 0.250 0.250

=====

# LaTb3Ho6Sc2 (PBE-GGA, optimized geometry)
# **E_form**: 0.040 eV/atom
data_LaTb3Ho6Sc2
_cell_length_a 6.074
_cell_length_b 10.516
_cell_length_c 11.656
_cell_angle_alpha 90.00
_cell_angle_beta 99.95
_cell_angle_gamma 90.00
_symmetry_space_group_name_H-M 'C 1 2/m 1'
_symmetry_Int_Tables_number 12
loop_
_symmetry_equiv_pos_as_xyz
'x,y,z'
'-x,-y,-z'
'-x,y,-z'
'x,-y,z'
'x+1/2,y+1/2,z'
'-x+1/2,-y+1/2,-z'
'-x+1/2,y+1/2,-z'
'x+1/2,-y+1/2,z'
loop_
_atom_site_label
_atom_site_type_symbol
_atom_site_fract_x
_atom_site_fract_y
_atom_site_fract_z
La1 La 0.000 0.000 0.000
Tb1 Tb 0.000 0.167 0.500
Tb2 Tb 0.000 0.500 0.500
Ho1 Ho 0.246 0.500 0.248
Ho2 Ho 0.248 0.332 0.752
Sc1 Sc 0.000 0.333 0.000

=====

# LaTb2HoSc4 (PBE-GGA, optimized geometry)
# **E_form**: 0.060 eV/atom
data_LaTb2HoSc4
_cell_length_a 4.978
_cell_length_b 4.978
_cell_length_c 9.187
_cell_angle_alpha 90.00
_cell_angle_beta 90.00
_cell_angle_gamma 90.00
_symmetry_space_group_name_H-M 'P 4/m m m'
_symmetry_Int_Tables_number 123
_symmetry_space_group_name_Hall '-P 4 2'
loop_
_atom_site_label
_atom_site_type_symbol
_atom_site_fract_x
_atom_site_fract_y
_atom_site_fract_z
La1 La 0.000 0.000 0.000
Tb1 Tb 0.000 0.000 0.500
Tb2 Tb 0.500 0.500 0.000
Ho1 Ho 0.500 0.500 0.500
Sc1 Sc 0.000 0.500 0.254

=====

# LaTbHoSc (PBE-GGA, optimized geometry)
# **E_form**: 0.089 eV/atom
# **Offset from the most stable computed form**: 0 meV per atom
data_LaTbHoSc
_cell_length_a 12.165
_cell_length_b 5.689
_cell_length_c 3.814
_cell_angle_alpha 90.00
_cell_angle_beta 108.26
_cell_angle_gamma 90.00
_symmetry_space_group_name_H-M 'C 1 m 1'
_symmetry_Int_Tables_number 8
loop_
_symmetry_equiv_pos_as_xyz
'x,y,z'
'x,-y,z'
'x+1/2,y+1/2,z'
'x+1/2,-y+1/2,z'
loop_
_atom_site_label
_atom_site_type_symbol
_atom_site_fract_x
_atom_site_fract_y
_atom_site_fract_z
La1 La 0.000 0.000 0.000
Tb1 Tb 0.230 0.500 0.225
Ho1 Ho 0.268 0.000 0.763
Sc1 Sc 0.498 0.000 0.494

=====

# La4Tb2HoSc (PBE-GGA, optimized geometry)
# **E_form**: 0.033 eV/atom
data_La4Tb2HoSc
_cell_length_a 5.193
_cell_length_b 5.212
_cell_length_c 9.820
_cell_angle_alpha 90.00
_cell_angle_beta 90.00
_cell_angle_gamma 90.00
_symmetry_space_group_name_H-M 'P m m m'
_symmetry_Int_Tables_number 47
loop_
_symmetry_equiv_pos_as_xyz
'x,y,z'
'-x,-y,-z'
'-x,-y,z'
'x,y,-z'
'x,-y,-z'
'-x,y,z'
'-x,y,-z'
'x,-y,z'
loop_
_atom_site_label
_atom_site_type_symbol
_atom_site_fract_x
_atom_site_fract_y
_atom_site_fract_z
La1 La 0.000 0.000 0.245
La2 La 0.500 0.500 0.245
Tb1 Tb 0.000 0.500 0.000
Tb2 Tb 0.500 0.000 0.500
Ho1 Ho 0.000 0.500 0.500
Sc1 Sc 0.500 0.000 0.000

=====

# LaTb6Ho2Sc3 (PBE-GGA, optimized geometry)
# **E_form**: 0.049 eV/atom
data_LaTb6Ho2Sc3
_cell_length_a 6.077
_cell_length_b 10.525
_cell_length_c 11.522
_cell_angle_alpha 90.00
_cell_angle_beta 100.11
_cell_angle_gamma 90.00
_symmetry_space_group_name_H-M 'C 1 2/m 1'
_symmetry_Int_Tables_number 12
loop_
_symmetry_equiv_pos_as_xyz
'x,y,z'
'-x,-y,-z'
'-x,y,-z'
'x,-y,z'
'x+1/2,y+1/2,z'
'-x+1/2,-y+1/2,-z'
'-x+1/2,y+1/2,-z'
'x+1/2,-y+1/2,z'
loop_
_atom_site_label
_atom_site_type_symbol
_atom_site_fract_x
_atom_site_fract_y
_atom_site_fract_z
La1 La 0.000 0.000 0.000
Tb1 Tb 0.245 0.333 0.739
Tb2 Tb 0.247 0.000 0.739
Ho1 Ho 0.000 0.333 0.000
Sc1 Sc 0.000 0.167 0.500
Sc2 Sc 0.000 0.500 0.500

=====

# La6TbHo2Sc (PBE-GGA, optimized geometry)
# **E_form**: 0.188 eV/atom
data_La6TbHo2Sc
_cell_length_a 11.457
_cell_length_b 7.128
_cell_length_c 8.861
_cell_angle_alpha 90.00
_cell_angle_beta 106.49
_cell_angle_gamma 90.00
_symmetry_space_group_name_H-M 'C 1 2/m 1'
_symmetry_Int_Tables_number 12
loop_
_symmetry_equiv_pos_as_xyz
'x,y,z'
'-x,-y,-z'
'-x,y,-z'
'x,-y,z'
'x+1/2,y+1/2,z'
'-x+1/2,-y+1/2,-z'
'-x+1/2,y+1/2,-z'
'x+1/2,-y+1/2,z'
loop_
_atom_site_label
_atom_site_type_symbol
_atom_site_fract_x
_atom_site_fract_y
_atom_site_fract_z
La1 La 0.135 0.000 0.429
La2 La 0.176 0.276 0.795
Tb1 Tb 0.000 0.000 0.000
Ho1 Ho 0.089 0.500 0.178
Sc1 Sc 0.000 0.500 0.500

=====

# La6Tb2HoSc (PBE-GGA, optimized geometry)
# **E_form**: 0.187 eV/atom
data_La6Tb2HoSc
_cell_length_a 11.504
_cell_length_b 7.084
_cell_length_c 8.926
_cell_angle_alpha 90.00
_cell_angle_beta 107.28
_cell_angle_gamma 90.00
_symmetry_space_group_name_H-M 'C 1 2/m 1'
_symmetry_Int_Tables_number 12
loop_
_symmetry_equiv_pos_as_xyz
'x,y,z'
'-x,-y,-z'
'-x,y,-z'
'x,-y,z'
'x+1/2,y+1/2,z'
'-x+1/2,-y+1/2,-z'
'-x+1/2,y+1/2,-z'
'x+1/2,-y+1/2,z'
loop_
_atom_site_label
_atom_site_type_symbol
_atom_site_fract_x
_atom_site_fract_y
_atom_site_fract_z
La1 La 0.132 0.000 0.425
La2 La 0.179 0.274 0.794
Tb1 Tb 0.086 0.500 0.180
Ho1 Ho 0.000 0.000 0.000
Sc1 Sc 0.000 0.500 0.500

=====

# LaTb4Ho2Sc (PBE-GGA, optimized geometry)
# **E_form**: 0.419 eV/atom
data_LaTb4Ho2Sc
_cell_length_a 13.414
_cell_length_b 13.079
_cell_length_c 6.750
_cell_angle_alpha 90.00
_cell_angle_beta 120.08
_cell_angle_gamma 90.00
_symmetry_space_group_name_H-M 'C 1 2/c 1'
_symmetry_Int_Tables_number 15
loop_
_symmetry_equiv_pos_as_xyz
'x,y,z'
'-x,-y,-z'
'-x,y,-z+1/2'
'x,-y,z+1/2'
'x+1/2,y+1/2,z'
'-x+1/2,-y+1/2,-z'
'-x+1/2,y+1/2,-z+1/2'
'x+1/2,-y+1/2,z+1/2'
loop_
_atom_site_label
_atom_site_type_symbol
_atom_site_fract_x
_atom_site_fract_y
_atom_site_fract_z
La1 La 0.000 0.000 0.000
Tb1 Tb 0.006 0.250 0.000
Tb2 Tb 0.250 0.007 0.994
Ho1 Ho 0.000 0.500 0.000
Ho2 Ho 0.250 0.250 0.500
Sc1 Sc 0.250 0.250 0.000

=====

VASP calculation (PBE-GGA) on a geometry-optimized La3Ho2ScTe6 structure.

Cell and atoms, written as CIF:
```
data_La3Ho2ScTe6
_cell_length_a 19.412
_cell_length_b 4.391
_cell_length_c 8.952
_cell_angle_alpha 90.00
_cell_angle_beta 104.67
_cell_angle_gamma 90.00
_symmetry_space_group_name_H-M 'C 1 2/m 1'
_symmetry_Int_Tables_number 12
loop_
_symmetry_equiv_pos_as_xyz
'x,y,z'
'-x,-y,-z'
'-x,y,-z'
'x,-y,z'
'x+1/2,y+1/2,z'
'-x+1/2,-y+1/2,-z'
'-x+1/2,y+1/2,-z'
'x+1/2,-y+1/2,z'
loop_
_atom_site_label
_atom_site_type_symbol
_atom_site_fract_x
_atom_site_fract_y
_atom_site_fract_z
La1 La 0.000 0.000 0.000
La2 La 0.169 0.500 0.335
Ho1 Ho 0.166 0.500 0.832
Sc1 Sc 0.000 0.000 0.500
Te1 Te 0.002 0.500 0.731
Te2 Te 0.158 0.000 0.591
Te3 Te 0.171 0.000 0.073
```

=====

| no. | E_tot (eV per atom) |
| --- | --- |
| 1 | -4.786 |
| 2 | -4.646 |
| 3 | -5.017 |
| 4 | -4.873 |
| 5 | -5.452 |
| 6 | -5.028 |
| 7 | -4.951 |
| 8 | -5.022 |
| 9 | -4.781 |
| 10 | -4.786 |
| 11 | -4.447 |
| 12 | -5.490 |